Entry 1:
{
  "formula": "BeNiCl2",
  "functional": "PBE",
  "state": "relaxed",
  "rho_g_cm3": 3.56,
  "lattice": [[4.907, 0.009, 0.008], [-0.004, 4.907, -0.008], [-0.901, -4.005, 2.689]],
  "species": ["Ni", "Be", "Cl", "Cl"],
  "frac_coords": [[0.750, 0.250, 0.500], [0.250, 0.750, 0.500], [0.029, 0.029, 0.000], [0.471, 0.471, 0.000]]
}

=====

Entry 2:
{
  "formula": "Be2NiAs",
  "functional": "PBE",
  "state": "relaxed",
  "rho_g_cm3": 5.70,
  "lattice": [[-1.577, 1.263, 2.250], [-2.476, -1.710, -0.776], [1.435, -3.399, 2.913]],
  "species": ["Ni", "As", "Be", "Be"],
  "frac_coords": [[0.500, 0.500, 0.250], [0.500, 0.500, 0.750], [0.000, 0.000, 0.015], [0.000, 0.000, 0.485]]
}

=====

Entry 3:
{
  "formula": "SmScCuSn",
  "functional": "PBE",
  "state": "relaxed",
  "rho_g_cm3": 6.84,
  "lattice": [[5.061, 0.000, 0.000], [2.531, 4.383, 0.000], [2.531, 1.461, 4.132]],
  "species": ["Sc", "Cu", "Sn", "Sm"],
  "frac_coords": [[0.500, 0.500, 0.500], [0.750, 0.750, 0.750], [0.250, 0.250, 0.250], [0.000, 0.000, 0.000]]
}

=====

Entry 4:
{
  "formula": "HgC2Cl",
  "functional": "PBE",
  "state": "relaxed",
  "rho_g_cm3": 7.51,
  "lattice": [[0.901, -4.107, 1.043], [-3.196, -2.910, 0.300], [-0.372, -3.123, -2.980]],
  "species": ["C", "C", "Hg", "Cl"],
  "frac_coords": [[0.250, 0.250, 0.250], [0.750, 0.750, 0.750], [0.500, 0.500, 0.500], [0.000, 0.000, 0.000]]
}

=====

Entry 5:
{
  "formula": "NaIrRu3",
  "functional": "PBE",
  "state": "relaxed",
  "rho_g_cm3": 7.99,
  "lattice": [[-1.099, 1.358, 4.427], [3.351, -2.906, 1.724], [3.195, 3.515, -0.285]],
  "species": ["Ru", "Ru", "Ru", "Ir", "Na"],
  "frac_coords": [[0.000, 0.500, 0.000], [0.000, 0.000, 0.500], [0.500, 0.000, 0.000], [0.000, 0.000, 0.000], [0.500, 0.500, 0.500]]
}

=====

Entry 6:
{
  "formula": "Ca2TiS2",
  "functional": "PBE",
  "state": "relaxed",
  "rho_g_cm3": 2.87,
  "lattice": [[7.995, 0.000, 0.000], [0.000, 7.995, 0.000], [0.000, 0.000, 3.480]],
  "species": ["Ca", "Ca", "Ca", "Ca", "S", "S", "S", "S", "Ti", "Ti"],
  "frac_coords": [[0.356, 0.856, 0.000], [0.856, 0.644, 0.000], [0.644, 0.144, 0.000], [0.144, 0.356, 0.000], [0.162, 0.662, 0.500], [0.662, 0.838, 0.500], [0.838, 0.338, 0.500], [0.338, 0.162, 0.500], [0.000, 0.000, 0.000], [0.500, 0.500, 0.000]]
}

=====

Number 1: E -3.2565 eV per atom. Number 2: E -4.5002 eV per atom. Number 3: E -5.1852 eV per atom. Number 4: E -2.1758 eV per atom. Number 5: E -6.0947 eV per atom. Number 6: E -4.7304 eV per atom.